! Mg2FeBr, optimized geometry, DFT PBE-GGA; values from VASP
&SYSTEM
  ibrav = 0, nat = 4, ntyp = 3
/
ATOMIC_SPECIES
Mg 24.30 Mg.upf
Br 79.90 Br.upf
Fe 55.84 Fe.upf
ATOMIC_POSITIONS crystal
Mg 0.000 0.000 0.000
Mg 0.250 0.750 0.500
Br 0.500 0.500 0.000
Fe 0.750 0.250 0.500
CELL_PARAMETERS angstrom
-2.109 4.671 3.068
-2.019 -0.367 5.610
4.659 -1.617 -3.370
! * E_form (uncorrected): 0.28 eV/atom
! * distance to the lowest polymorph of the same formula: 0.354 eV per atom
! * E: -3.06 eV/atom
! * SG: No. 119